# 1
# NaMnAuCl6

An optimized crystal structure of NaMnAuCl6 (PBE, the Alexandria database).

Cell lengths 6.5523, 6.5523, 11.2379 Å; angles 90.00, 90.00, 120.00 degrees
Last column: magnetic moment on the atom in μB.
Element x y z (fractional)
Cl1 0.6284 0.6797 0.6286  -0.03
Cl2 0.3203 0.3716 0.8714  -0.03
Cl3 0.6797 0.0513 0.3714  -0.03
Na1 0.3333 0.6667 0.2500  0.00
Au1 0.0000 0.0000 0.5000  -0.16
Cl4 0.9487 0.3203 0.1286  -0.03
Cl5 0.3716 0.3203 0.3714  -0.03
Au2 0.0000 0.0000 0.0000  -0.16
Cl6 0.6284 0.9487 0.8714  -0.03
Na2 0.6667 0.3333 0.7500  0.00
Cl7 0.3203 0.9487 0.6286  -0.03
Cl8 0.6797 0.6284 0.1286  -0.03
Cl9 0.3716 0.0513 0.1286  -0.03
Cl10 0.9487 0.6284 0.3714  -0.03
Cl11 0.0513 0.3716 0.6286  -0.03
Mn1 0.6667 0.3333 0.2500  3.13
Cl12 0.0513 0.6797 0.8714  -0.03
Mn2 0.3333 0.6667 0.7500  3.13

Computed properties:
The total magnetization comes out at 3.0 μB per formula unit. The volume is 417.8 Å³ per cell. As for the density of states at the Fermi level: 1.51 states/eV/f.u. The symmetry is No. 163. For the uncorrected formation energy, the calculation gives -7.5 eV/f.u.

---

# 2
# Y2MgGe

An optimized crystal structure of Y2MgGe (PBE, the Alexandria database).

Cell lengths 4.1177, 4.8419, 4.8419 Å; angles 90.00, 90.00, 90.00 degrees
Element x y z (fractional)
Ge1 0.5000 0.0000 0.0000
Mg1 0.5000 0.5000 0.5000
Y1 0.0000 0.5000 0.0000
Y2 0.0000 0.0000 0.5000

Computed properties:
The total magnetization comes out at 0.0 μB per formula unit. For the total energy, the calculation gives -20.8 eV for the cell shown. The volume is 96.5 Å³ per cell. As for the density of states at the Fermi level: 2.94 states/eV/f.u. The symmetry is No. 123.

---

# 3
# Nb3GeTe

An optimized crystal structure of Nb3GeTe (PBE, the Alexandria database).

Cell lengths 5.0232, 5.0232, 5.0232 Å; angles 90.00, 90.00, 90.00 degrees
Element x y z (fractional)
Nb1 0.0000 0.5000 0.0000
Nb2 0.0000 0.0000 0.5000
Te1 0.0000 0.0000 0.0000
Ge1 0.5000 0.5000 0.5000
Nb3 0.5000 0.0000 0.0000

Computed properties:
The total magnetization comes out at 0.0 μB per formula unit. The volume is 126.7 Å³ per cell. As for the density of states at the Fermi level: 8.23 states/eV/f.u. The symmetry is No. 221. As for the excess energy over the best structure of this formula in the dataset: 0.6105 eV per atom. For the uncorrected formation energy, the calculation gives 7.2 eV/f.u.

---

# 4
# Dy2HoTh

An optimized crystal structure of Dy2HoTh (PBE, the Alexandria database).

Cell lengths 5.6554, 5.6554, 5.6554 Å; angles 60.00, 60.00, 60.00 degrees
Element x y z (fractional)
Dy1 0.2500 0.2500 0.2500
Th1 0.5000 0.5000 0.5000
Dy2 0.7500 0.7500 0.7500
Ho1 0.0000 0.0000 0.0000

Computed properties:
The total magnetization comes out at 0.0 μB per formula unit. The volume is 127.9 Å³ per cell. As for the density of states at the Fermi level: 8.77 states/eV/f.u. The symmetry is No. 225. As for the excess energy over the best structure of this formula in the dataset: 0.1378 eV per atom.

---

# 5
# YGa2Cu5

An optimized crystal structure of YGa2Cu5 (PBE, the Alexandria database).

Cell lengths 3.7488, 6.2249, 6.2249 Å; angles 67.21, 72.48, 72.48 degrees
Element x y z (fractional)
Ga1 0.7467 0.7533 0.7533
Ga2 0.2533 0.2467 0.2467
Cu1 0.6321 0.5531 0.1826
Cu2 0.0000 0.5000 0.5000
Cu3 0.3679 0.4469 0.8174
Y1 0.0000 0.0000 0.0000
Cu4 0.6321 0.1826 0.5531
Cu5 0.3679 0.8174 0.4469

Computed properties:
The total magnetization comes out at 0.0 μB per formula unit. For the total energy, the calculation gives -34.7 eV for the cell shown. The volume is 124.9 Å³ per cell. As for the density of states at the Fermi level: 3.39 states/eV/f.u. The symmetry is No. 71.

---

# 6
# KMn2Re

An optimized crystal structure of KMn2Re (PBE, the Alexandria database).

Cell lengths 2.7019, 5.5119, 4.8639 Å; angles 90.00, 90.00, 90.00 degrees
Last column: magnetic moment on the atom in μB.
Element x y z (fractional)
Mn1 0.5000 0.5000 0.0000  3.69
K1 0.0000 0.5000 0.5000  0.01
Mn2 0.0000 0.0000 0.0000  3.08
Re1 0.5000 0.0000 0.5000  -0.40

Computed properties:
The total magnetization comes out at 6.6 μB per formula unit. The volume is 72.4 Å³ per cell. As for the density of states at the Fermi level: 3.69 states/eV/f.u. The symmetry is No. 47. As for the excess energy over the best structure of this formula in the dataset: 0.8592 eV per atom.